# 1
The following is a GGA-PBE calculation of an optimized crystal structure of Sm2Zn3Cd3, from the Alexandria database.

Cell: 8.568 8.568 8.568 Å, 33.52 33.52 33.52°
Atoms (fractional coordinates):
Sm: 0.000 0.000 0.000
Sm: 0.491 0.491 0.491
Zn: 0.123 0.123 0.123
Zn: 0.369 0.369 0.369
Zn: 0.619 0.619 0.619
Cd: 0.249 0.249 0.249
Cd: 0.743 0.743 0.743
Cd: 0.872 0.872 0.872

Summary:
Energy of formation (eV per atom): -0.307
Total DFT energy (no corrections) (eV/cell): -18.5
Space group: R3m (160)

=====

# 2
The following is a GGA-PBE calculation of an optimized crystal structure of SmZnCd3, from the Alexandria database.

Cell: 7.132 4.455 7.477 Å, 90.00 104.38 90.00°
Atoms (fractional coordinates):
Sm: 0.204 0.250 0.168
Sm: 0.796 0.750 0.832
Zn: 0.469 0.250 0.760
Zn: 0.531 0.750 0.240
Cd: 0.064 0.250 0.658
Cd: 0.294 0.750 0.893
Cd: 0.345 0.750 0.518
Cd: 0.655 0.250 0.482
Cd: 0.706 0.250 0.107
Cd: 0.936 0.750 0.342

Summary:
Energy of formation (eV per atom): -0.224
Total DFT energy (no corrections) (eV/cell): -19.7
Energy relative to the lowest polymorph listed for this composition (meV/atom): 0
Space group: P2_1/m (11)

=====

- The highest energy of formation belongs to which entry?
  SmZnCd3

=====

- Which of these has the highest total DFT energy (no corrections)?
  Sm2Zn3Cd3